! Zr4SbOs (GGA-PBE, optimized geometry); values from VASP
! ΔE_f (raw): 0.374 eV per atom
! magnetic moment: 0.00 μB per cell
! total DFT energy (no corrections): -7.8837 eV per atom
&SYSTEM
  ibrav = 0, nat = 6, ntyp = 3
/
ATOMIC_SPECIES
Zr 91.22 Zr.upf
Sb 121.76 Sb.upf
Os 190.23 Os.upf
CELL_PARAMETERS angstrom
0.000 3.971 3.971
3.971 0.000 3.971
3.971 3.971 0.000
ATOMIC_POSITIONS angstrom
Zr 0.986 0.986 0.986
Zr 2.985 2.985 0.986
Zr 2.985 0.986 2.985
Zr 0.986 2.985 2.985
Sb 3.971 3.971 3.971
Os 5.957 5.957 5.957